Run i
Mn4TeO8 | GGA+U | relaxed

```
data_Mn4TeO8
_chemical_formula_sum 'Mn16 Te4 O32'
_cell_length_a 8.796
_cell_length_b 8.796
_cell_length_c 8.796
_cell_angle_alpha 90.00
_cell_angle_beta 90.00
_cell_angle_gamma 90.00
_symmetry_space_group_name_H-M 'F -4 3 m'
_symmetry_Int_Tables_number 216
_symmetry_space_group_name_Hall 'F -4 2 3'
loop_
_atom_site_label
_atom_site_type_symbol
_atom_site_fract_x
_atom_site_fract_y
_atom_site_fract_z
_atom_site_occupancy
Mn1 Mn 0.120 0.120 0.380 1
Te1 Te 0.000 0.000 0.000 1
O1 O 0.108 0.108 0.608 1
O2 O 0.138 0.138 0.138 1
```

Summary:
Volume: 13.09 Å³/atom
Magnetic moment: 1.23 μB per atom
ρ: 4.64 g/cm³
DOS(E_F): 0.747 states/eV/atom

Run ii
Mn4TeO8 | GGA+U | relaxed

```
data_Mn4TeO8
_chemical_formula_sum 'Mn8 Te2 O16'
_cell_length_a 10.923
_cell_length_b 6.182
_cell_length_c 6.402
_cell_angle_alpha 90.00
_cell_angle_beta 125.30
_cell_angle_gamma 90.00
_symmetry_space_group_name_H-M 'C 1 2/m 1'
_symmetry_Int_Tables_number 12
loop_
_symmetry_equiv_pos_as_xyz
'x,y,z'
'-x,-y,-z'
'-x,y,-z'
'x,-y,z'
'x+1/2,y+1/2,z'
'-x+1/2,-y+1/2,-z'
'-x+1/2,y+1/2,-z'
'x+1/2,-y+1/2,z'
loop_
_atom_site_label
_atom_site_type_symbol
_atom_site_fract_x
_atom_site_fract_y
_atom_site_fract_z
_atom_site_occupancy
Mn1 Mn 0.000 0.000 0.000 1
Mn2 Mn 0.000 0.500 0.500 1
Mn3 Mn 0.250 0.250 0.000 1
Te1 Te 0.000 0.500 0.000 1
O1 O 0.002 0.278 0.784 1
O2 O 0.221 0.500 0.191 1
O3 O 0.249 0.000 0.185 1
```

Summary:
Volume: 13.57 Å³/atom
Magnetic moment: 1.38 μB per atom
ρ: 4.48 g/cm³
DOS(E_F): 0.029 states/eV/atom

Name the most stable of them. run ii.